No. 1
Computed, not measured: a relaxed SrLiFe2 crystal at the GGA-PBE level of DFT.

CIF file:
```
data_SrLiFe2
_cell_length_a 7.276
_cell_length_b 4.192
_cell_length_c 6.009
_cell_angle_alpha 90.00
_cell_angle_beta 113.71
_cell_angle_gamma 90.00
_space_group_name_H-M_alt 'C 1 2/m 1'
_space_group_IT_number 12
loop_
_space_group_symop_operation_xyz
'x,y,z'
'-x,-y,-z'
'-x,y,-z'
'x,-y,z'
'x+1/2,y+1/2,z'
'-x+1/2,-y+1/2,-z'
'-x+1/2,y+1/2,-z'
'x+1/2,-y+1/2,z'
loop_
_atom_site_label
_atom_site_type_symbol
_atom_site_fract_x
_atom_site_fract_y
_atom_site_fract_z
_atom_site_occupancy
Sr1 Sr 0.000 0.000 0.000 1
Li1 Li 0.000 0.500 0.500 1
Fe1 Fe 0.193 0.000 0.580 1
```

Its total energy is -4.632 eV/atom. As for the energy of formation: 0.499 eV per atom.

***

No. 2
Computed, not measured: a relaxed SrLiFe2 crystal at the GGA-PBE level of DFT.

CIF file:
```
data_SrLiFe2
_cell_length_a 3.684
_cell_length_b 4.356
_cell_length_c 10.817
_cell_angle_alpha 90.00
_cell_angle_beta 90.00
_cell_angle_gamma 90.00
_space_group_name_H-M_alt 'I m m 2'
_space_group_IT_number 44
loop_
_space_group_symop_operation_xyz
'x,y,z'
'-x,-y,z'
'-x,y,z'
'x,-y,z'
'x+1/2,y+1/2,z+1/2'
'-x+1/2,-y+1/2,z+1/2'
'-x+1/2,y+1/2,z+1/2'
'x+1/2,-y+1/2,z+1/2'
loop_
_atom_site_label
_atom_site_type_symbol
_atom_site_fract_x
_atom_site_fract_y
_atom_site_fract_z
_atom_site_occupancy
Sr1 Sr 0.000 0.000 0.000 1
Li1 Li 0.000 0.500 0.234 1
Fe1 Fe 0.000 0.000 0.377 1
Fe2 Fe 0.000 0.500 0.754 1
```

Its total energy is -4.573 eV/atom. As for the energy of formation: 0.558 eV per atom.

***

No. 3
Computed, not measured: a relaxed Sr3LiFe crystal at the GGA-PBE level of DFT.

CIF file:
```
data_Sr3LiFe
_cell_length_a 5.923
_cell_length_b 5.923
_cell_length_c 5.923
_cell_angle_alpha 90.00
_cell_angle_beta 90.00
_cell_angle_gamma 90.00
_space_group_name_H-M_alt 'P m -3 m'
_space_group_IT_number 221
_space_group_name_Hall '-P 4 2 3'
loop_
_atom_site_label
_atom_site_type_symbol
_atom_site_fract_x
_atom_site_fract_y
_atom_site_fract_z
_atom_site_occupancy
Sr1 Sr 0.000 0.000 0.500 1
Li1 Li 0.000 0.000 0.000 1
Fe1 Fe 0.500 0.500 0.500 1
```

Its total energy is -1.980 eV/atom. As for the energy of formation: 1.105 eV per atom.

***

No. 4
Computed, not measured: a relaxed SrLiFe3 crystal at the GGA-PBE level of DFT.

CIF file:
```
data_SrLiFe3
_cell_length_a 4.511
_cell_length_b 4.511
_cell_length_c 4.511
_cell_angle_alpha 90.00
_cell_angle_beta 90.00
_cell_angle_gamma 90.00
_space_group_name_H-M_alt 'P m -3 m'
_space_group_IT_number 221
_space_group_name_Hall '-P 4 2 3'
loop_
_atom_site_label
_atom_site_type_symbol
_atom_site_fract_x
_atom_site_fract_y
_atom_site_fract_z
_atom_site_occupancy
Sr1 Sr 0.000 0.000 0.000 1
Li1 Li 0.500 0.500 0.500 1
Fe1 Fe 0.000 0.500 0.500 1
```

Its total energy is -4.794 eV/atom. Its energy above the most stable polymorph in this dataset is 0.000 eV per atom. As for the energy of formation: 1.003 eV per atom.